## P
Below is crystalline P2OsSN at its relaxed geometry, with properties calculated at the PBE level.

Crystal system   monoclinic

Cell: 4.735 2.828 5.919 Å, 90.00 112.73 90.00°
Space group Pm (No. 6)
Unique sites:
P  0.000  0.000  0.000 (multiplicity 1)
P  0.207  0.500  0.369 (multiplicity 1)
Os  0.733  0.500  0.435 (multiplicity 1)
S  0.578  0.000  0.108 (multiplicity 1)
N  0.918  0.500  0.815 (multiplicity 1)

***

## Q
Below is crystalline P2OsSN at its relaxed geometry, with properties calculated at the PBE level.

Crystal system   triclinic

Cell: 4.247 4.460 4.776 Å, 112.53 91.54 100.52°
Space group P1 (No. 1)
Unique sites:
P  0.000  0.000  0.000 (multiplicity 1)
P  0.453  0.758  0.346 (multiplicity 1)
Os  0.064  0.472  0.937 (multiplicity 1)
S  0.465  0.302  0.608 (multiplicity 1)
N  0.798  0.818  0.202 (multiplicity 1)

***

Quick one: most stable of them? P

***

## P
Below is crystalline P2OsSN at its relaxed geometry, with properties calculated at the PBE level.

Crystal system   monoclinic

Cell: 6.732 5.569 4.986 Å, 90.00 125.38 90.00°
Space group Cm (No. 8)
Unique sites:
P  0.000  0.240  0.000 (multiplicity 4)
Os  0.142  0.000  0.743 (multiplicity 2)
S  0.212  0.500  0.384 (multiplicity 2)
N  0.065  0.000  0.259 (multiplicity 2)

***

## Q
Below is crystalline P2OsSN at its relaxed geometry, with properties calculated at the PBE level.

Crystal system   triclinic

Cell: 4.297 4.572 4.600 Å, 79.39 85.41 70.78°
Space group P1 (No. 1)
Unique sites:
P  0.000  0.000  0.000 (multiplicity 1)
P  0.306  0.151  0.660 (multiplicity 1)
Os  0.428  0.158  0.152 (multiplicity 1)
S  0.718  0.624  0.303 (multiplicity 1)
N  0.068  0.609  0.105 (multiplicity 1)

***

## R
Below is crystalline P2OsSN at its relaxed geometry, with properties calculated at the PBE level.

Crystal system   triclinic

Cell: 4.186 4.552 4.592 Å, 62.69 83.42 89.71°
Space group P1 (No. 1)
Unique sites:
P  0.000  0.000  0.000 (multiplicity 1)
P  0.366  0.755  0.358 (multiplicity 1)
Os  0.981  0.586  0.796 (multiplicity 1)
S  0.419  0.434  0.127 (multiplicity 1)
N  0.752  0.815  0.378 (multiplicity 1)

***

## S
Below is crystalline P2OsSN at its relaxed geometry, with properties calculated at the PBE level.

Crystal system   triclinic

Cell: 4.107 4.198 4.510 Å, 89.98 89.55 70.05°
Space group P1 (No. 1)
Unique sites:
P  0.000  0.000  0.000 (multiplicity 1)
P  0.355  0.067  0.636 (multiplicity 1)
Os  0.167  0.643  0.412 (multiplicity 1)
S  0.715  0.471  0.185 (multiplicity 1)
N  0.778  0.901  0.722 (multiplicity 1)

***

Quick one: most stable of them? R

***

## P
Below is crystalline POsSN2 at its relaxed geometry, with properties calculated at the PBE level.

Crystal system   tetragonal

Cell: 3.501 3.501 4.476 Å, 90.00 90.00 90.00°
Space group P4/mmm (No. 123)
Unique sites:
P  0.000  0.000  0.000 (multiplicity 1)
Os  0.500  0.500  0.500 (multiplicity 1)
S  0.000  0.000  0.500 (multiplicity 1)
N  0.000  0.500  0.000 (multiplicity 2)

***

## Q
Below is crystalline POsSN2 at its relaxed geometry, with properties calculated at the PBE level.

Crystal system   tetragonal

Cell: 3.756 3.756 5.244 Å, 90.00 90.00 90.00°
Space group P4/mmm (No. 123)
Unique sites:
P  0.000  0.000  0.000 (multiplicity 1)
Os  0.500  0.500  0.500 (multiplicity 1)
S  0.500  0.500  0.000 (multiplicity 1)
N  0.000  0.500  0.500 (multiplicity 2)

***

Quick one: most stable of them? Q

***

## P
Below is crystalline POsS2N at its relaxed geometry, with properties calculated at the PBE level.

Crystal system   tetragonal

Cell: 4.757 4.757 3.672 Å, 90.00 90.00 90.00°
Space group P4/mmm (No. 123)
Unique sites:
P  0.000  0.000  0.000 (multiplicity 1)
Os  0.500  0.500  0.500 (multiplicity 1)
S  0.000  0.500  0.500 (multiplicity 2)
N  0.500  0.500  0.000 (multiplicity 1)

***

## Q
Below is crystalline POsS2N at its relaxed geometry, with properties calculated at the PBE level.

Crystal system   tetragonal

Cell: 4.037 4.037 3.860 Å, 90.00 90.00 90.00°
Space group P4/mmm (No. 123)
Unique sites:
P  0.000  0.000  0.000 (multiplicity 1)
Os  0.500  0.500  0.000 (multiplicity 1)
S  0.000  0.500  0.500 (multiplicity 2)
N  0.000  0.000  0.500 (multiplicity 1)

***

## R
Below is crystalline POsS2N at its relaxed geometry, with properties calculated at the PBE level.

Crystal system   tetragonal

Cell: 4.465 4.465 4.732 Å, 90.00 90.00 90.00°
Space group P4/mmm (No. 123)
Unique sites:
P  0.000  0.000  0.000 (multiplicity 1)
Os  0.000  0.000  0.500 (multiplicity 1)
S  0.000  0.500  0.500 (multiplicity 2)
N  0.500  0.500  0.000 (multiplicity 1)

***

Quick one: most stable of them? P

***

## P
Below is crystalline TePOsN2 at its relaxed geometry, with properties calculated at the PBE level.

Crystal system   tetragonal

Cell: 3.520 3.520 8.497 Å, 90.00 90.00 90.00°
Space group P4/mmm (No. 123)
Unique sites:
Te  0.000  0.000  0.000 (multiplicity 1)
P  0.000  0.000  0.500 (multiplicity 1)
Os  0.500  0.500  0.000 (multiplicity 1)
N  0.000  0.500  0.500 (multiplicity 2)

***

## Q
Below is crystalline TePOsN2 at its relaxed geometry, with properties calculated at the PBE level.

Crystal system   tetragonal

Cell: 3.791 3.791 6.006 Å, 90.00 90.00 90.00°
Space group P4/mmm (No. 123)
Unique sites:
Te  0.000  0.000  0.000 (multiplicity 1)
P  0.500  0.500  0.000 (multiplicity 1)
Os  0.000  0.000  0.500 (multiplicity 1)
N  0.000  0.500  0.500 (multiplicity 2)

***

Quick one: most stable of them? Q

***

## P
Below is crystalline PaOsN at its relaxed geometry, with properties calculated at the PBE level.

Crystal system   orthorhombic

Cell: 7.121 3.708 7.532 Å, 90.00 90.00 90.00°
Space group Pnma (No. 62)
Unique sites:
Pa  0.065  0.250  0.209 (multiplicity 4)
Os  0.147  0.750  0.478 (multiplicity 4)
N  0.190  0.750  0.958 (multiplicity 4)

***

## Q
Below is crystalline PaOsN at its relaxed geometry, with properties calculated at the PBE level.

Crystal system   tetragonal

Cell: 3.920 3.920 7.416 Å, 90.00 90.00 90.00°
Space group I4mm (No. 107)
Unique sites:
Pa  0.000  0.000  0.000 (multiplicity 2)
Os  0.000  0.000  0.536 (multiplicity 2)
N  0.000  0.000  0.283 (multiplicity 2)

***

Quick one: most stable of them? P

***

## P
Below is crystalline Pa2OsN at its relaxed geometry, with properties calculated at the PBE level.

Crystal system   trigonal

Cell: 3.6336 3.6336 19.6957 Å, 90.00 90.00 120.00°
Space group R-3m (No. 166, hexagonal axes)
Unique sites:
Pa  0.0000  0.0000  0.2384 (multiplicity 6)
Os  0.0000  0.0000  0.0000 (multiplicity 3)
N  0.0000  0.0000  0.5000 (multiplicity 3)

***

## Q
Below is crystalline Pa2OsN at its relaxed geometry, with properties calculated at the PBE level.

Crystal system   tetragonal

Cell: 3.041 3.041 7.182 Å, 90.00 90.00 90.00°
Space group P4/mmm (No. 123)
Unique sites:
Pa  0.000  0.000  0.217 (multiplicity 2)
Os  0.500  0.500  0.500 (multiplicity 1)
N  0.500  0.500  0.000 (multiplicity 1)

***

Quick one: most stable of them? P

***

## P
Below is crystalline OsPb3N at its relaxed geometry, with properties calculated at the PBE level.

Crystal system   cubic

Cell: 4.811 4.811 4.811 Å, 90.00 90.00 90.00°
Space group Pm-3m (No. 221)
Unique sites:
Os  0.000  0.000  0.000 (multiplicity 1)
Pb  0.000  0.500  0.500 (multiplicity 3)
N  0.500  0.500  0.500 (multiplicity 1)

***

## Q
Below is crystalline OsPb3N at its relaxed geometry, with properties calculated at the PBE level.

Crystal system   cubic

Cell: 5.247 5.247 5.247 Å, 90.00 90.00 90.00°
Space group Pm-3m (No. 221)
Unique sites:
Os  0.000  0.000  0.000 (multiplicity 1)
Pb  0.000  0.000  0.500 (multiplicity 3)
N  0.500  0.500  0.500 (multiplicity 1)

***

Quick one: most stable of them? P

***

## P
Below is crystalline Os2PbN at its relaxed geometry, with properties calculated at the PBE level.

Crystal system   cubic

Cell: 6.246 6.246 6.246 Å, 90.00 90.00 90.00°
Space group Fm-3m (No. 225)
Unique sites:
Os  0.250  0.250  0.250 (multiplicity 8)
Pb  0.000  0.000  0.000 (multiplicity 4)
N  0.000  0.000  0.500 (multiplicity 4)

***

## Q
Below is crystalline Os2PbN at its relaxed geometry, with properties calculated at the PBE level.

Crystal system   tetragonal

Cell: 5.581 5.581 9.298 Å, 90.00 90.00 90.00°
Space group I-42d (No. 122)
Unique sites:
Os  0.118  0.250  0.125 (multiplicity 8)
Pb  0.000  0.000  0.500 (multiplicity 4)
N  0.000  0.000  0.000 (multiplicity 4)

***

Quick one: most stable of them? Q

***

## P
Below is crystalline OsPbS2N at its relaxed geometry, with properties calculated at the PBE level.

Crystal system   tetragonal

Cell: 5.182 5.182 4.225 Å, 90.00 90.00 90.00°
Space group P4/mmm (No. 123)
Unique sites:
Os  0.000  0.000  0.000 (multiplicity 1)
Pb  0.500  0.500  0.500 (multiplicity 1)
S  0.000  0.500  0.500 (multiplicity 2)
N  0.500  0.500  0.000 (multiplicity 1)

***

## Q
Below is crystalline OsPbS2N at its relaxed geometry, with properties calculated at the PBE level.

Crystal system   tetragonal

Cell: 5.014 5.014 3.729 Å, 90.00 90.00 90.00°
Space group P4/mmm (No. 123)
Unique sites:
Os  0.000  0.000  0.000 (multiplicity 1)
Pb  0.500  0.500  0.500 (multiplicity 1)
S  0.000  0.500  0.000 (multiplicity 2)
N  0.000  0.000  0.500 (multiplicity 1)

***

Quick one: most stable of them? Q

***

## P
Below is crystalline OsPbSe2N at its relaxed geometry, with properties calculated at the PBE level.

Crystal system   tetragonal

Cell: 5.447 5.447 4.165 Å, 90.00 90.00 90.00°
Space group P4/mmm (No. 123)
Unique sites:
Os  0.000  0.000  0.000 (multiplicity 1)
Pb  0.500  0.500  0.500 (multiplicity 1)
Se  0.000  0.500  0.500 (multiplicity 2)
N  0.500  0.500  0.000 (multiplicity 1)

***

## Q
Below is crystalline OsPbSe2N at its relaxed geometry, with properties calculated at the PBE level.

Crystal system   tetragonal

Cell: 5.406 5.406 3.736 Å, 90.00 90.00 90.00°
Space group P4/mmm (No. 123)
Unique sites:
Os  0.000  0.000  0.000 (multiplicity 1)
Pb  0.500  0.500  0.500 (multiplicity 1)
Se  0.000  0.500  0.000 (multiplicity 2)
N  0.000  0.000  0.500 (multiplicity 1)

***

Quick one: most stable of them? Q

***

## P
Below is crystalline Os2Pd2N at its relaxed geometry, with properties calculated at the PBE level.

Crystal system   tetragonal

Cell: 3.470 3.470 12.822 Å, 90.00 90.00 90.00°
Space group I4/mmm (No. 139)
Unique sites:
Os  0.000  0.000  0.091 (multiplicity 4)
Pd  0.000  0.500  0.250 (multiplicity 4)
N  0.000  0.000  0.500 (multiplicity 2)

***

## Q
Below is crystalline Os2Pd2N at its relaxed geometry, with properties calculated at the PBE level.

Crystal system   tetragonal

Cell: 5.424 5.424 4.761 Å, 90.00 90.00 90.00°
Space group P4/mbm (No. 127)
Unique sites:
Os  0.171  0.329  0.000 (multiplicity 4)
Pd  0.174  0.674  0.500 (multiplicity 4)
N  0.000  0.000  0.000 (multiplicity 2)

***

Quick one: most stable of them? Q